Here is CoAsRh2 after structural relaxation from Alexandria via LeMat-Bulk. Energies are from PBE.

Formation energy from the elements: -0.03 eV per atom
DFT total energy: -6.64 eV/atom
Spin magnetization: 2.380 μB/f.u.
Symmetry: Pmmm

a b c (Å): 2.8593 3.4876 5.5552
angles (deg): 90.00 90.00 90.00
With the nearest neighbours (Å) after each atom.
Fractional positions:
1 Rh 0.0000 0.0000 0.5068  4 Co 2.63, 4 As 2.67, 4 Rh 2.70-2.86
2 Rh 0.0000 0.0000 0.9932  4 Co 2.63, 4 As 2.67, 4 Rh 2.70-2.86
3 Co 0.5000 0.5000 0.7500  8 Rh 2.63, 2 As 2.78, 2 Co 2.86
4 As 0.5000 0.5000 0.2500  8 Rh 2.67, 2 Co 2.78, 2 As 2.86